The following is a PBE calculation of crystalline ZnTcAu2 at its relaxed geometry, from OQMD via LeMat-Bulk.

Lattice parameters (Å, degrees): 6.419 6.419 6.419 90.00 90.00 90.00
Space group F-43m (No. 216)
Asymmetric unit:
Zn 0.000 0.000 0.000 (multiplicity 4)
Tc 0.250 0.250 0.750 (multiplicity 4)
Au 0.000 0.000 0.500 (multiplicity 4)
Au 0.250 0.250 0.250 (multiplicity 4)

=====

The following is a PBE calculation of crystalline ZrTc2Au at its relaxed geometry, from OQMD via LeMat-Bulk.

Lattice parameters (Å, degrees): 6.477 6.477 6.477 90.00 90.00 90.00
Space group F-43m (No. 216)
Asymmetric unit:
Zr 0.000 0.000 0.000 (multiplicity 4)
Tc 0.000 0.000 0.500 (multiplicity 4)
Tc 0.250 0.250 0.750 (multiplicity 4)
Au 0.250 0.250 0.250 (multiplicity 4)

=====

The following is a PBE calculation of crystalline Zr2TcAu at its relaxed geometry, from OQMD via LeMat-Bulk.

Lattice parameters (Å, degrees): 6.649 6.649 6.649 90.00 90.00 90.00
Space group F-43m (No. 216)
Asymmetric unit:
Zr 0.000 0.000 0.000 (multiplicity 4)
Zr 0.250 0.250 0.250 (multiplicity 4)
Tc 0.000 0.000 0.500 (multiplicity 4)
Au 0.250 0.250 0.750 (multiplicity 4)

=====

The following is a PBE calculation of crystalline Zr3Tc2Au at its relaxed geometry, from OQMD via LeMat-Bulk.

Lattice parameters (Å, degrees): 3.336 3.336 10.034 90.00 90.00 90.00
Space group P4/mmm (No. 123)
Asymmetric unit:
Zr 0.000 0.000 0.000 (multiplicity 1)
Zr 0.000 0.000 0.317 (multiplicity 2)
Tc 0.500 0.500 0.167 (multiplicity 2)
Au 0.500 0.500 0.500 (multiplicity 1)

=====

Number 1: calculated total energy -4.268 eV per atom, total magnetic moment 2.15 μB/f.u.. Number 2: calculated total energy -8.065 eV per atom, total magnetic moment 0.05 μB/f.u.. Number 3: calculated total energy -7.740 eV per atom, total magnetic moment 0.28 μB/f.u.. Number 4: calculated total energy -8.737 eV per atom, total magnetic moment 0.01 μB/f.u..